No. 1
DFT (PBEsol) results for AlTlRu2C after structural relaxation.

## Properties
Calculated total energy, eV/atom: -6.6470
ΔH_f (0 K), eV per atom: 0.695

Unit cell a=4.0317 b=4.0317 c=4.6212 alpha=90.00 beta=90.00 gamma=90.00
Sites, in units of the cell vectors:
Ru: 0.5000 0.0000 0.0000
Ru: 0.0000 0.5000 0.0000
Al: 0.5000 0.5000 0.5000
C: 0.0000 0.0000 0.0000
Tl: 0.0000 0.0000 0.5000

No. 2
DFT (PBEsol) results for CaLaPb2 after structural relaxation.

## Properties
Calculated total energy, eV/atom: -4.4208
ΔH_f (0 K), eV per atom: -0.552

Unit cell a=3.7308 b=5.6780 c=5.6780 alpha=90.00 beta=90.00 gamma=90.00
Sites, in units of the cell vectors:
La: 0.6273 0.0000 0.0000
Pb: 0.1271 0.5000 0.0000
Pb: 0.1271 0.0000 0.5000
Ca: 0.6267 0.5000 0.5000

No. 3
DFT (PBEsol) results for BiB2O5 after structural relaxation.

## Properties
Calculated total energy, eV/atom: -7.3940
Formation energy from raw total energies, eV/atom: -1.823

Unit cell a=6.6564 b=6.6564 c=9.9568 alpha=78.10 beta=78.10 gamma=60.80
Sites, in units of the cell vectors:
O: 0.8985 0.3918 0.4775
O: 0.7098 0.3620 0.0883
O: 0.9387 0.6616 0.8499
O: 0.0613 0.3384 0.1501
O: 0.6082 0.1015 0.0225
O: 0.1836 0.8716 0.3720
O: 0.6380 0.2902 0.4117
O: 0.3620 0.7098 0.5883
O: 0.3492 0.2855 0.3066
O: 0.1015 0.6082 0.5225
O: 0.6508 0.7145 0.6934
O: 0.1284 0.8164 0.1280
O: 0.8716 0.1836 0.8720
O: 0.3384 0.0613 0.6501
O: 0.2855 0.3492 0.8066
O: 0.8164 0.1284 0.6280
O: 0.2902 0.6380 0.9117
O: 0.6616 0.9387 0.3499
O: 0.7145 0.6508 0.1934
O: 0.3918 0.8985 0.9775
B: 0.2632 0.7796 0.0028
B: 0.5566 0.1710 0.3622
B: 0.8290 0.4434 0.1378
B: 0.7368 0.2204 0.9972
B: 0.1710 0.5566 0.8622
B: 0.4434 0.8290 0.6378
B: 0.7796 0.2632 0.5028
B: 0.2204 0.7368 0.4972
Bi: 0.3791 0.9961 0.1943
Bi: 0.9961 0.3791 0.6943
Bi: 0.0039 0.6209 0.3057
Bi: 0.6209 0.0039 0.8057

No. 4
DFT (PBEsol) results for MgCuAu4 after structural relaxation.

## Properties
Calculated total energy, eV/atom: -3.6446
ΔH_f (0 K), eV per atom: -0.020

Unit cell a=5.3566 b=5.3566 c=5.3566 alpha=60.00 beta=60.00 gamma=60.00
Sites, in units of the cell vectors:
Au: 0.8746 0.3751 0.3751
Au: 0.3751 0.3751 0.3751
Au: 0.3751 0.8746 0.3751
Au: 0.3751 0.3751 0.8746
Cu: 0.7500 0.7500 0.7500
Mg: 0.0000 0.0000 0.0000

no.,DOS(E_F) (states/eV/cell),V (Å³ per atom)
1,3.784,15.02
2,2.955,30.07
3,7.855,11.69
4,1.580,18.11